Record 1
VASP calculation (GGA-PBE) on a relaxed SnMo3C2 crystal.

Values from the calculation:
Total DFT energy (no corrections), eV per atom: -9.08
Crystal system: hexagonal

The structure in POSCAR format:
```
SnMo3C2
1.0
-2.8583 -0.7267 -1.1765
1.7544 -2.2415 1.4070
-7.7898 4.1669 16.3520
C Sn Mo
4 2 6
direct
0.3333 0.6667 0.4301
0.6667 0.3333 0.9301
0.6667 0.3333 0.5699
0.3333 0.6667 0.0699
0.0000 0.0000 0.7500
0.0000 0.0000 0.2500
0.3333 0.6667 0.8757
0.3333 0.6667 0.6243
0.6667 0.3333 0.1243
0.0000 0.0000 0.5000
0.0000 0.0000 0.0000
0.6667 0.3333 0.3757
```



Record 2
VASP calculation (GGA-PBE) on a relaxed Ba2MgTcS6 crystal.

Values from the calculation:
Total DFT energy (no corrections), eV per atom: -5.11
Crystal system: triclinic

The structure in POSCAR format:
```
Ba2MgTcS6
1.0
6.8835 0.0000 0.0000
3.4406 5.9635 0.0000
3.4415 1.9854 5.6232
Ba S Tc Mg
2 6 1 1
direct
0.7499 0.2500 0.2501
0.2501 0.7500 0.7499
0.7437 0.7493 0.7622
0.2594 0.2419 0.7522
0.2563 0.2507 0.2378
0.2516 0.7601 0.2469
0.7484 0.2399 0.7531
0.7406 0.7581 0.2478
0.5000 0.0000 0.0000
0.0000 0.5000 0.5000
```



Record 3
VASP calculation (GGA-PBE) on a relaxed W2Se crystal.

Values from the calculation:
Distance to the lowest polymorph of the same formula, meV/atom: 2460.9
Crystal system: cubic

The structure in POSCAR format:
```
W2Se
1.0
4.1890 2.4185 6.8406
-4.1890 2.4185 6.8406
0.0000 -4.8370 6.8406
Se W
2 4
direct
0.5000 0.5000 0.5000
0.2500 0.2500 0.2500
0.3750 0.3750 0.8750
0.3750 0.3750 0.3750
0.8750 0.3750 0.3750
0.3750 0.8750 0.3750
```



What ρ values result from the calculations? In sequence: 8811 4240 3567 kg/m³.